No. 1
NaTlAs3 | PBE | optimized geometry

extended XYZ file:
```
5
Lattice="5.145 0.000 0.000 0.000 5.145 0.000 0.000 0.000 5.145" Properties=species:S:1:pos:R:3 pbc="T T T"
Na 0.000 0.000 0.000
Tl 2.573 2.573 2.573
As 0.000 0.000 2.573
As 0.000 2.573 0.000
As 2.573 0.000 0.000
```

Values from the calculation:
Energy, eV/atom: -2.72
Energy relative to the elements, eV/atom: 0.808
E above lowest polymorph, meV/atom: 805

No. 2
La2Al3Cd | PBE | optimized geometry

extended XYZ file:
```
12
Lattice="0.000 4.732 8.176 3.929 0.000 8.176 3.929 4.732 0.000" Properties=species:S:1:pos:R:3 pbc="T T T"
La 5.917 4.732 8.176
La 1.964 2.366 4.088
La 5.893 7.098 12.263
La 1.940 4.732 8.176
Al 3.929 2.425 6.837
Al 3.929 4.732 5.511
Al 3.929 2.425 9.514
Al 3.929 7.040 6.837
Al 3.929 4.732 10.840
Al 3.929 7.040 9.514
Cd 3.929 4.732 2.733
Cd 3.929 4.732 13.618
```

Values from the calculation:
Energy, eV/atom: -4.09
Energy relative to the elements, eV/atom: -0.422

No. 3
Dy6TlBi2Te3 | PBE | optimized geometry

extended XYZ file:
```
12
Lattice="9.617 -2.192 0.000 9.617 2.192 0.000 -1.991 0.000 8.657" Properties=species:S:1:pos:R:3 pbc="T T T"
Dy -0.504 0.000 2.246
Dy 4.566 0.000 7.949
Dy 5.681 0.000 3.622
Dy 11.562 0.000 5.034
Dy 12.677 0.000 0.707
Dy 17.747 0.000 6.410
Tl 8.622 0.000 4.328
Bi 1.541 0.000 7.219
Bi 15.702 0.000 1.438
Te 2.601 0.000 2.886
Te 9.617 0.000 0.000
Te 14.642 0.000 5.770
```

Values from the calculation:
Energy, eV/atom: -4.93
E_form (uncorrected), eV per atom: -0.999

Among the records above, which one has the highest energy? NaTlAs3